No. 1
MnBi2AsF | PBE+U | optimized geometry

a = 5.2062 Å, b = 5.2062 Å, c = 4.4052 Å
α = 90.00°, β = 90.00°, γ = 90.00°
Last column: nearest neighbours and their distance in Å.
Fractional coordinates of all 5 atoms:
Mn: 0.0000 0.0000 0.0000  2 As 2.20
Bi: 0.0000 0.5000 0.0000  2 Mn 2.60
Bi: 0.5000 0.0000 0.0000  2 Mn 2.60
As: 0.0000 0.0000 0.5000  2 Mn 2.20
F: 0.5000 0.5000 0.5000  8 Bi 3.41, 4 As 3.68

Properties
Symmetry: P4/mmm (123)
Energy: -3.7675 eV per atom

No. 2
BiMo2AsF | PBE+U | optimized geometry

a = 5.6220 Å, b = 5.6220 Å, c = 4.3947 Å
α = 90.00°, β = 90.00°, γ = 90.00°
Last column: nearest neighbours and their distance in Å.
Fractional coordinates of all 5 atoms:
Bi: 0.0000 0.0000 0.0000  2 F 2.20
Mo: 0.0000 0.5000 0.0000  2 Bi 2.81
Mo: 0.5000 0.0000 0.0000  2 Bi 2.81
As: 0.5000 0.5000 0.5000  8 Mo 3.57, 4 F 3.98
F: 0.0000 0.0000 0.5000  2 Bi 2.20

Properties
Symmetry: P4/mmm (123)
Energy: -4.2928 eV per atom